No. 1
Here is Mn2FeIr after structural relaxation from Alexandria via LeMat-Bulk. Energies are from GGA-PBE. Values from VASP.

symmetry: Cmmm
raw total energy: -8.73 eV/atom
magnetic moment: 6.95 μB/f.u.
Fermi-level density of states: 4.47 states/eV/f.u.
distance to the lowest polymorph of the same formula: 310 meV per atom

Cell and atoms, written as Quantum ESPRESSO input:
```
&SYSTEM
  ibrav = 0, nat = 4, ntyp = 3
/
ATOMIC_SPECIES
Mn 54.94 Mn.upf
Fe 55.84 Fe.upf
Ir 192.22 Ir.upf
CELL_PARAMETERS angstrom
-2.104 0.461 -1.458
-0.452 -0.349 2.538
0.906 8.207 1.289
ATOMIC_POSITIONS crystal
Mn 0.000 0.000 0.489
Mn 0.000 0.000 0.011
Fe 0.500 0.500 0.250
Ir 0.500 0.500 0.750
```

=====

No. 2
Here is MnFe2Ir after structural relaxation from Alexandria via LeMat-Bulk. Energies are from GGA-PBE. Values from VASP.

symmetry: Cmmm
raw total energy: -8.57 eV/atom
magnetic moment: 7.11 μB/f.u.
Fermi-level density of states: 4.98 states/eV/f.u.

Cell and atoms, written as Quantum ESPRESSO input:
```
&SYSTEM
  ibrav = 0, nat = 4, ntyp = 3
/
ATOMIC_SPECIES
Fe 55.84 Fe.upf
Ir 192.22 Ir.upf
Mn 54.94 Mn.upf
CELL_PARAMETERS angstrom
2.589 0.005 0.000
-1.089 2.349 0.000
0.000 0.000 8.338
ATOMIC_POSITIONS crystal
Fe 0.000 0.000 0.988
Fe 0.000 0.000 0.512
Ir 0.500 0.500 0.250
Mn 0.500 0.500 0.750
```

=====

No. 3
Here is MnFe2Ir after structural relaxation from Alexandria via LeMat-Bulk. Energies are from GGA-PBE. Values from VASP.

symmetry: P4/mmm
raw total energy: -8.68 eV/atom
magnetic moment: 1.96 μB/f.u.
Fermi-level density of states: 5.10 states/eV/f.u.

Cell and atoms, written as Quantum ESPRESSO input:
```
&SYSTEM
  ibrav = 0, nat = 4, ntyp = 3
/
ATOMIC_SPECIES
Fe 55.84 Fe.upf
Ir 192.22 Ir.upf
Mn 54.94 Mn.upf
CELL_PARAMETERS angstrom
2.597 0.000 0.000
0.000 2.597 0.000
0.000 0.000 7.265
ATOMIC_POSITIONS crystal
Fe 0.000 0.000 0.989
Fe 0.000 0.000 0.511
Ir 0.500 0.500 0.250
Mn 0.500 0.500 0.750
```

=====

No. 4
Here is MnFe2Ir after structural relaxation from Alexandria via LeMat-Bulk. Energies are from GGA-PBE. Values from VASP.

symmetry: Cmmm
raw total energy: -8.77 eV/atom
magnetic moment: 1.49 μB/f.u.
Fermi-level density of states: 4.06 states/eV/f.u.

Cell and atoms, written as Quantum ESPRESSO input:
```
&SYSTEM
  ibrav = 0, nat = 4, ntyp = 3
/
ATOMIC_SPECIES
Fe 55.84 Fe.upf
Ir 192.22 Ir.upf
Mn 54.94 Mn.upf
CELL_PARAMETERS angstrom
4.497 -0.046 0.000
-1.508 4.237 0.000
0.000 0.000 2.621
ATOMIC_POSITIONS crystal
Fe 0.000 0.000 0.000
Fe 0.500 0.500 0.000
Ir 0.500 0.000 0.500
Mn 0.000 0.500 0.500
```